# CeEr2Cd3

A geometry-optimized CeEr2Cd3 structure (GGA-PBE, Alexandria).

a b c (Å): 3.688 3.688 11.629
angles (deg): 90.00 90.00 90.00
Site moments in Bohr magnetons follow the coordinates.
Atoms (fractional coordinates):
Ce: 0.500 0.500 0.500  1.04
Er: 0.500 0.500 0.840  0.06
Er: 0.500 0.500 0.160  0.06
Cd: 0.000 0.000 0.000  0.01
Cd: 0.000 0.000 0.317  0.01
Cd: 0.000 0.000 0.683  0.01

* energy relative to the elements: -0.247 eV per atom
* DOS at the Fermi energy: 1.92 states/eV per atom

# Cs2Li3Br5

A geometry-optimized Cs2Li3Br5 structure (GGA-PBE, Alexandria).

a b c (Å): 7.389 11.236 11.236
angles (deg): 50.73 70.81 70.81
Atoms (fractional coordinates):
Cs: 0.169 0.645 0.017
Cs: 0.669 0.017 0.645
Cs: 0.831 0.355 0.983
Cs: 0.331 0.983 0.355
Li: 0.408 0.516 0.668
Li: 0.908 0.668 0.516
Li: 0.592 0.484 0.332
Li: 0.092 0.332 0.484
Li: 0.250 0.000 0.000
Li: 0.750 0.000 0.000
Br: 0.430 0.209 0.932
Br: 0.930 0.932 0.209
Br: 0.570 0.791 0.068
Br: 0.070 0.068 0.791
Br: 0.557 0.693 0.693
Br: 0.443 0.307 0.307
Br: 0.750 0.500 0.500
Br: 0.250 0.500 0.500
Br: 0.943 0.307 0.307
Br: 0.057 0.693 0.693

* DOS at the Fermi energy: 0.00 states/eV per atom
* uncorrected formation energy: -1.591 eV/atom

# Nd2ThGa6

A geometry-optimized Nd2ThGa6 structure (GGA-PBE, Alexandria).

a b c (Å): 4.281 7.405 7.405
angles (deg): 120.00 90.00 90.00
Atoms (fractional coordinates):
Nd: 0.000 0.333 0.667
Nd: 0.000 0.667 0.333
Th: 0.000 0.000 0.000
Ga: 0.500 0.333 0.333
Ga: 0.500 0.667 0.667
Ga: 0.500 0.000 0.667
Ga: 0.500 0.667 0.000
Ga: 0.500 0.333 0.000
Ga: 0.500 0.000 0.333

* energy relative to the elements: -0.673 eV per atom
* DOS at the Fermi energy: 0.66 states/eV per atom
* relative energy among the computed polymorphs: 0.0 meV per atom

# TlGeTe3

A geometry-optimized TlGeTe3 structure (GGA-PBE, Alexandria).

a b c (Å): 5.731 5.731 5.731
angles (deg): 90.00 90.00 90.00
Atoms (fractional coordinates):
Tl: 0.000 0.000 0.000
Te: 0.000 0.500 0.000
Te: 0.000 0.000 0.500
Te: 0.500 0.000 0.000
Ge: 0.500 0.500 0.500

* DOS at the Fermi energy: 0.90 states/eV per atom
* uncorrected formation energy: 0.788 eV/atom
* relative energy among the computed polymorphs: 841.0 meV per atom

# EuErTlSn

A geometry-optimized EuErTlSn structure (GGA-PBE, Alexandria).

a b c (Å): 5.438 5.438 5.438
angles (deg): 60.00 60.00 60.00
Site moments in Bohr magnetons follow the coordinates.
Atoms (fractional coordinates):
Eu: 0.500 0.500 0.500  6.83
Tl: 0.750 0.750 0.750  0.00
Sn: 0.250 0.250 0.250  -0.02
Er: 0.000 0.000 0.000  0.09

* energy relative to the elements: -0.466 eV per atom
* DOS at the Fermi energy: 0.52 states/eV per atom

# Sr2Pt2N

A geometry-optimized Sr2Pt2N structure (GGA-PBE, Alexandria).

a b c (Å): 7.194 7.194 4.321
angles (deg): 90.00 90.00 90.00
Atoms (fractional coordinates):
Sr: 0.181 0.681 0.500
Sr: 0.681 0.819 0.500
Sr: 0.819 0.319 0.500
Sr: 0.319 0.181 0.500
Pt: 0.371 0.871 0.000
Pt: 0.871 0.629 0.000
Pt: 0.629 0.129 0.000
Pt: 0.129 0.371 0.000
N: 0.000 0.000 0.000
N: 0.500 0.500 0.000

* DOS at the Fermi energy: 0.78 states/eV per atom
* uncorrected formation energy: 0.267 eV/atom
* relative energy among the computed polymorphs: 470.7 meV per atom

# Sr2Ca9Ac

A geometry-optimized Sr2Ca9Ac structure (GGA-PBE, Alexandria).

a b c (Å): 5.619 5.619 16.895
angles (deg): 90.00 90.00 90.00
Atoms (fractional coordinates):
Sr: 0.000 0.000 0.331
Sr: 0.000 0.000 0.669
Ca: 0.500 0.500 0.000
Ca: 0.500 0.500 0.333
Ca: 0.500 0.500 0.667
Ca: 0.500 0.000 0.163
Ca: 0.500 0.000 0.500
Ca: 0.500 0.000 0.837
Ca: 0.000 0.500 0.163
Ca: 0.000 0.500 0.500
Ca: 0.000 0.500 0.837
Ac: 0.000 0.000 0.000

* energy relative to the elements: 0.032 eV per atom
* DOS at the Fermi energy: 1.36 states/eV per atom

# MnTcAu

A geometry-optimized MnTcAu structure (GGA-PBE, Alexandria).

a b c (Å): 5.923 5.923 2.810
angles (deg): 76.28 76.27 27.45
Atoms (fractional coordinates):
Au: 0.994 0.994 0.006
Mn: 0.315 0.315 0.685
Tc: 0.690 0.690 0.310

* energy relative to the elements: 0.224 eV per atom
* DOS at the Fermi energy: 1.27 states/eV per atom
* relative energy among the computed polymorphs: 0.0 meV per atom

# Sc8C4N

A geometry-optimized Sc8C4N structure (GGA-PBE, Alexandria).

a b c (Å): 6.638 6.638 6.638
angles (deg): 60.00 60.00 60.00
Site moments in Bohr magnetons follow the coordinates.
Atoms (fractional coordinates):
Sc: 0.732 0.251 0.767  0.06
Sc: 0.749 0.268 0.233  0.06
Sc: 0.268 0.749 0.233  0.06
Sc: 0.749 0.749 0.233  0.06
Sc: 0.740 0.740 0.780  0.10
Sc: 0.260 0.260 0.220  0.10
Sc: 0.251 0.251 0.767  0.06
Sc: 0.251 0.732 0.767  0.06
C: 0.000 0.500 0.000  0.00
C: 0.500 0.500 0.000  0.00
C: 0.500 0.000 0.000  0.00
C: 0.000 0.000 0.000  0.01
N: 0.500 0.500 0.500  0.00

* DOS at the Fermi energy: 0.37 states/eV per atom
* uncorrected formation energy: -0.662 eV/atom

# NaHg6F12

A geometry-optimized NaHg6F12 structure (GGA-PBE, Alexandria).

a b c (Å): 6.905 6.905 6.905
angles (deg): 100.07 100.07 100.07
Atoms (fractional coordinates):
Na: 0.000 0.000 0.000
Hg: 0.706 0.864 0.393
Hg: 0.607 0.294 0.136
Hg: 0.136 0.607 0.294
Hg: 0.294 0.136 0.607
Hg: 0.393 0.706 0.864
Hg: 0.864 0.393 0.706
F: 0.822 0.568 0.422
F: 0.422 0.822 0.568
F: 0.568 0.422 0.822
F: 0.178 0.432 0.578
F: 0.578 0.178 0.432
F: 0.432 0.578 0.178
F: 0.072 0.933 0.321
F: 0.067 0.679 0.928
F: 0.679 0.928 0.067
F: 0.928 0.067 0.679
F: 0.933 0.321 0.072
F: 0.321 0.072 0.933

* DOS at the Fermi energy: 0.08 states/eV per atom
* uncorrected formation energy: -1.534 eV/atom

# Tm2Np3NbN6

A geometry-optimized Tm2Np3NbN6 structure (GGA-PBE, Alexandria).

a b c (Å): 5.833 5.833 5.831
angles (deg): 99.58 99.58 120.03
Site moments in Bohr magnetons follow the coordinates.
Atoms (fractional coordinates):
Tm: 0.333 0.667 0.000  0.05
Tm: 0.667 0.333 0.000  0.05
Np: 0.167 0.833 0.500  2.96
Np: 0.833 0.167 0.500  2.96
Np: 0.500 0.500 0.500  2.94
Nb: 0.000 0.000 0.000  -0.27
N: 0.918 0.593 0.754  -0.09
N: 0.757 0.757 0.247  -0.09
N: 0.082 0.407 0.246  -0.09
N: 0.593 0.918 0.754  -0.09
N: 0.243 0.243 0.753  -0.09
N: 0.407 0.082 0.246  -0.09

* DOS at the Fermi energy: 1.38 states/eV per atom
* uncorrected formation energy: -1.340 eV/atom

# Ag5Os

A geometry-optimized Ag5Os structure (GGA-PBE, Alexandria).

a b c (Å): 5.360 5.360 5.360
angles (deg): 60.00 60.00 60.00
Site moments in Bohr magnetons follow the coordinates.
Atoms (fractional coordinates):
Ag: 0.876 0.375 0.375  0.01
Ag: 0.750 0.750 0.750  0.02
Ag: 0.375 0.876 0.375  0.01
Ag: 0.375 0.375 0.375  0.01
Ag: 0.375 0.375 0.876  0.01
Os: 0.000 0.000 0.000  1.62

* energy relative to the elements: 0.796 eV per atom
* DOS at the Fermi energy: 0.94 states/eV per atom
* relative energy among the computed polymorphs: 395.1 meV per atom

# Ho6Sb3PSe2

A geometry-optimized Ho6Sb3PSe2 structure (GGA-PBE, Alexandria).

a b c (Å): 4.196 8.422 9.420
angles (deg): 103.02 102.87 90.00
Atoms (fractional coordinates):
Ho: 0.343 0.915 0.687
Ho: 0.667 0.579 0.334
Ho: 0.657 0.085 0.313
Ho: 0.000 0.230 0.001
Ho: 0.000 0.770 0.999
Ho: 0.333 0.421 0.666
Sb: 0.500 0.500 0.000
Sb: 0.830 0.165 0.659
Sb: 0.170 0.835 0.341
P: 0.500 0.000 0.000
Se: 0.833 0.665 0.667
Se: 0.167 0.335 0.333

* DOS at the Fermi energy: 0.31 states/eV per atom
* uncorrected formation energy: -1.413 eV/atom

# Co2Ni2Pt

A geometry-optimized Co2Ni2Pt structure (GGA-PBE, Alexandria).

a b c (Å): 6.793 6.793 2.646
angles (deg): 90.00 90.00 90.00
Site moments in Bohr magnetons follow the coordinates.
Atoms (fractional coordinates):
Ni: 0.173 0.673 0.500  0.80
Ni: 0.673 0.827 0.500  0.79
Ni: 0.827 0.327 0.500  0.80
Ni: 0.327 0.173 0.500  0.79
Co: 0.379 0.879 0.000  1.79
Co: 0.879 0.621 0.000  1.78
Co: 0.621 0.121 0.000  1.79
Co: 0.121 0.379 0.000  1.78
Pt: 0.000 0.000 0.000  0.25
Pt: 0.500 0.500 0.000  0.25

* energy relative to the elements: 0.108 eV per atom
* DOS at the Fermi energy: 1.49 states/eV per atom
* relative energy among the computed polymorphs: 158.8 meV per atom

# Er5ZnBi4

A geometry-optimized Er5ZnBi4 structure (GGA-PBE, Alexandria).

a b c (Å): 6.217 7.611 7.611
angles (deg): 80.40 65.89 65.89
Atoms (fractional coordinates):
Er: 0.898 0.397 0.808
Er: 0.296 0.808 0.603
Er: 0.706 0.192 0.397
Er: 0.103 0.603 0.192
Er: 0.502 0.000 0.000
Zn: 0.002 0.000 0.000
Bi: 0.405 0.398 0.795
Bi: 0.802 0.795 0.602
Bi: 0.199 0.205 0.398
Bi: 0.597 0.602 0.205

* energy relative to the elements: -0.588 eV per atom
* DOS at the Fermi energy: 0.80 states/eV per atom

# La4Cd5Pt6

A geometry-optimized La4Cd5Pt6 structure (GGA-PBE, Alexandria).

a b c (Å): 4.187 11.213 15.414
angles (deg): 90.00 90.00 100.76
Atoms (fractional coordinates):
La: 0.946 0.893 0.268
La: 0.054 0.107 0.768
La: 0.137 0.275 0.298
La: 0.863 0.725 0.798
La: 0.825 0.650 0.454
La: 0.175 0.350 0.954
La: 0.012 0.023 0.510
La: 0.988 0.977 0.010
Cd: 0.457 0.914 0.672
Cd: 0.543 0.086 0.172
Cd: 0.170 0.341 0.613
Cd: 0.830 0.659 0.113
Cd: 0.648 0.295 0.471
Cd: 0.352 0.705 0.971
Cd: 0.301 0.602 0.632
Cd: 0.699 0.398 0.132
Cd: 0.315 0.630 0.265
Cd: 0.685 0.370 0.765
Pt: 0.735 0.470 0.312
Pt: 0.421 0.843 0.406
Pt: 0.768 0.537 0.949
Pt: 0.232 0.463 0.449
Pt: 0.457 0.914 0.861
Pt: 0.543 0.086 0.361
Pt: 0.419 0.838 0.129
Pt: 0.581 0.162 0.629
Pt: 0.111 0.223 0.115
Pt: 0.889 0.777 0.615
Pt: 0.579 0.157 0.906
Pt: 0.265 0.530 0.812

* energy relative to the elements: -0.764 eV per atom
* DOS at the Fermi energy: 0.47 states/eV per atom

# Sc4CuNi

A geometry-optimized Sc4CuNi structure (GGA-PBE, Alexandria).

a b c (Å): 8.666 8.666 8.666
angles (deg): 60.00 60.00 60.00
Atoms (fractional coordinates):
Sc: 0.388 0.388 0.388
Sc: 0.835 0.388 0.388
Sc: 0.388 0.835 0.388
Sc: 0.388 0.388 0.835
Sc: 0.562 0.562 0.938
Sc: 0.938 0.938 0.562
Sc: 0.562 0.938 0.562
Sc: 0.938 0.562 0.938
Sc: 0.938 0.562 0.562
Sc: 0.562 0.938 0.938
Sc: 0.186 0.186 0.814
Sc: 0.814 0.814 0.186
Sc: 0.186 0.814 0.186
Sc: 0.814 0.186 0.814
Sc: 0.814 0.186 0.186
Sc: 0.186 0.814 0.814
Cu: 0.170 0.170 0.170
Cu: 0.489 0.170 0.170
Cu: 0.170 0.489 0.170
Cu: 0.170 0.170 0.489
Ni: 0.601 0.601 0.601
Ni: 0.196 0.601 0.601
Ni: 0.601 0.196 0.601
Ni: 0.601 0.601 0.196

* energy relative to the elements: -0.284 eV per atom
* DOS at the Fermi energy: 1.08 states/eV per atom
* relative energy among the computed polymorphs: 0.0 meV per atom

# HgGe3S

A geometry-optimized HgGe3S structure (GGA-PBE, Alexandria).

a b c (Å): 5.196 5.196 5.196
angles (deg): 90.00 90.00 90.00
Atoms (fractional coordinates):
S: 0.500 0.500 0.500
Ge: 0.000 0.500 0.000
Ge: 0.000 0.000 0.500
Ge: 0.500 0.000 0.000
Hg: 0.000 0.000 0.000

* DOS at the Fermi energy: 0.72 states/eV per atom
* uncorrected formation energy: 1.009 eV/atom
* relative energy among the computed polymorphs: 488.7 meV per atom

# Tb3Er7In

A geometry-optimized Tb3Er7In structure (GGA-PBE, Alexandria).

a b c (Å): 8.455 6.910 6.910
angles (deg): 120.00 90.00 90.00
Atoms (fractional coordinates):
Tb: 0.783 0.501 0.499
Tb: 0.783 0.501 0.001
Tb: 0.783 0.999 0.499
Er: 0.124 0.168 0.832
Er: 0.124 0.168 0.336
Er: 0.112 0.667 0.333
Er: 0.446 0.830 0.170
Er: 0.446 0.339 0.170
Er: 0.446 0.830 0.661
Er: 0.124 0.664 0.832
In: 0.446 0.333 0.667

* energy relative to the elements: 0.117 eV per atom
* DOS at the Fermi energy: 1.38 states/eV per atom

# HfSc5Pd4

A geometry-optimized HfSc5Pd4 structure (GGA-PBE, Alexandria).

a b c (Å): 3.287 3.287 17.688
angles (deg): 90.00 90.00 90.00
Atoms (fractional coordinates):
Hf: 0.000 0.000 0.000
Sc: 0.500 0.500 0.121
Sc: 0.500 0.500 0.310
Sc: 0.500 0.500 0.500
Sc: 0.500 0.500 0.690
Sc: 0.500 0.500 0.879
Pd: 0.000 0.000 0.218
Pd: 0.000 0.000 0.405
Pd: 0.000 0.000 0.595
Pd: 0.000 0.000 0.782

* energy relative to the elements: -0.708 eV per atom
* DOS at the Fermi energy: 0.68 states/eV per atom

# La2PmPr7Tl2

A geometry-optimized La2PmPr7Tl2 structure (GGA-PBE, Alexandria).

a b c (Å): 6.257 6.257 15.460
angles (deg): 56.55 56.55 68.75
Atoms (fractional coordinates):
La: 0.852 0.852 0.648
La: 0.148 0.148 0.352
Pm: 0.000 0.000 0.000
Pr: 0.500 0.500 0.000
Pr: 0.314 0.314 0.500
Pr: 0.686 0.686 0.500
Pr: 0.832 0.332 0.168
Pr: 0.332 0.832 0.168
Pr: 0.668 0.168 0.832
Pr: 0.168 0.668 0.832
Tl: 0.725 0.725 0.275
Tl: 0.275 0.275 0.725

* energy relative to the elements: -0.041 eV per atom
* DOS at the Fermi energy: 1.79 states/eV per atom

no.,ρ (g/cm³)
1,8.52
2,3.39
3,7.67
4,5.82
5,9.38
6,8.61
7,2.38
8,13.18
9,3.39
10,7.74
11,12.57
12,11.12
13,8.12
14,11.71
15,9.62
16,10.69
17,4.36
18,5.33
19,8.37
20,7.20
21,7.19